Entry 1:
Computed, not measured: crystalline TlCoAsSe2 at its relaxed geometry at the PBE level of DFT.

```
data_TlCoAsSe2
_symmetry_space_group_name_H-M 'P 1'
_symmetry_Int_Tables_number 1
_cell_length_a 5.0937
_cell_length_b 5.0937
_cell_length_c 4.3439
_cell_angle_alpha 90.00
_cell_angle_beta 90.00
_cell_angle_gamma 90.00
loop_
_symmetry_equiv_pos_as_xyz
'x,y,z'
loop_
_atom_site_label
_atom_site_fract_x
_atom_site_fract_y
_atom_site_fract_z
Tl1 0.0000 0.0000 0.0000
Co1 0.5000 0.5000 0.5000
As1 0.5000 0.5000 0.0000
Se1 0.0000 0.5000 0.5000
Se2 0.5000 0.0000 0.5000
```

Energy   -20.23 eV for the cell shown
ΔE to the lowest computed polymorph   0 meV/atom
Size of the total moment   0.00 μB/f.u.
SG   P4/mmm (123)
Crystal system   tetragonal

---

Entry 2:
Computed, not measured: crystalline BeCrMo at its relaxed geometry at the PBE level of DFT.

```
data_BeCrMo
_symmetry_space_group_name_H-M 'P 1'
_symmetry_Int_Tables_number 1
_cell_length_a 5.8890
_cell_length_b 5.8890
_cell_length_c 5.8890
_cell_angle_alpha 154.92
_cell_angle_beta 154.92
_cell_angle_gamma 35.76
loop_
_symmetry_equiv_pos_as_xyz
'x,y,z'
loop_
_atom_site_label
_atom_site_fract_x
_atom_site_fract_y
_atom_site_fract_z
Be1 0.0000 0.0000 0.0000
Cr1 0.3580 0.3580 0.0000
Mo1 0.6613 0.6613 0.0000
```

Energy   -23.52 eV for the cell shown
ΔE to the lowest computed polymorph   154 meV/atom
Size of the total moment   0.23 μB/f.u.
SG   I4mm (107)
Crystal system   tetragonal
Formation energy from the elements   0.22 eV per atom

---

Entry 3:
Computed, not measured: crystalline Sr2MnGe4Pd3 at its relaxed geometry at the PBE level of DFT.

```
data_Sr2MnGe4Pd3
_symmetry_space_group_name_H-M 'P 1'
_symmetry_Int_Tables_number 1
_cell_length_a 4.3749
_cell_length_b 4.3749
_cell_length_c 10.5490
_cell_angle_alpha 90.00
_cell_angle_beta 90.00
_cell_angle_gamma 90.00
loop_
_symmetry_equiv_pos_as_xyz
'x,y,z'
loop_
_atom_site_label
_atom_site_fract_x
_atom_site_fract_y
_atom_site_fract_z
Sr1 0.0000 0.5000 0.2479
Sr2 0.5000 0.0000 0.7521
Mn1 0.0000 0.0000 0.5000
Ge1 0.0000 0.0000 0.0000
Ge2 0.0000 0.5000 0.6250
Ge3 0.5000 0.0000 0.3750
Ge4 0.5000 0.5000 0.0000
Pd1 0.0000 0.5000 0.8719
Pd2 0.5000 0.0000 0.1281
Pd3 0.5000 0.5000 0.5000
```

Energy   -52.46 eV for the cell shown
Size of the total moment   3.16 μB/f.u.
SG   P-4m2 (115)
Crystal system   tetragonal
Formation energy from the elements   -0.59 eV per atom